1.
# ThAgPd6 | the Alexandria database | PBE | relaxed
# Fermi-level density of states = 6.8 states/eV/cell
# Energy of formation = -48.63 kJ per mole of atoms
# E_tot = -5.683 eV/atom
data_ThAgPd6
_chemical_formula_sum 'Th1 Ag1 Pd6'
_cell_length_a 4.179
_cell_length_b 4.179
_cell_length_c 7.989
_cell_angle_alpha 90.00
_cell_angle_beta 90.00
_cell_angle_gamma 90.00
_space_group_name_H-M_alt 'P 4/m m m'
_space_group_IT_number 123
_space_group_name_Hall '-P 4 2'
loop_
_atom_site_label
_atom_site_type_symbol
_atom_site_fract_x
_atom_site_fract_y
_atom_site_fract_z
Th1 Th 0.000 0.000 0.000
Ag1 Ag 0.000 0.000 0.500
Pd1 Pd 0.000 0.500 0.257
Pd2 Pd 0.500 0.500 0.000
Pd3 Pd 0.500 0.500 0.500

=====

2.
# Zr2TiBr5 | the Alexandria database | PBE | relaxed
# Raw formation energy = -0.91 eV per atom
# Fermi-level density of states = 6.3 states/eV/cell
# E_tot = -5.078 eV/atom
data_Zr2TiBr5
_chemical_formula_sum 'Zr2 Ti1 Br5'
_cell_length_a 5.600
_cell_length_b 5.866
_cell_length_c 8.147
_cell_angle_alpha 100.16
_cell_angle_beta 97.29
_cell_angle_gamma 103.64
_space_group_name_H-M_alt 'P 1'
_space_group_IT_number 1
_space_group_name_Hall 'P 1'
loop_
_atom_site_label
_atom_site_type_symbol
_atom_site_fract_x
_atom_site_fract_y
_atom_site_fract_z
Zr1 Zr 0.000 0.000 0.000
Zr2 Zr 0.419 0.608 0.000
Ti1 Ti 0.915 0.531 0.000
Br1 Br 0.069 0.271 0.747
Br2 Br 0.200 0.424 0.253
Br3 Br 0.530 0.120 0.000
Br4 Br 0.681 0.661 0.734
Br5 Br 0.819 0.823 0.266

=====

3.
# AlIrRh | the Alexandria database | PBE | relaxed
# Fermi-level density of states = 7.7 states/eV/cell
# Energy of formation = -46.52 kJ per mole of atoms
# E_tot = -7.134 eV/atom
# Energy above the most stable polymorph in this dataset = 58 meV per atom
data_AlIrRh
_chemical_formula_sum 'Al4 Ir4 Rh4'
_cell_length_a 4.110
_cell_length_b 7.922
_cell_length_c 5.272
_cell_angle_alpha 90.00
_cell_angle_beta 90.00
_cell_angle_gamma 90.00
_space_group_name_H-M_alt 'C m c m'
_space_group_IT_number 63
_space_group_name_Hall '-C 2c 2'
loop_
_atom_site_label
_atom_site_type_symbol
_atom_site_fract_x
_atom_site_fract_y
_atom_site_fract_z
Al1 Al 0.000 0.136 0.250
Ir1 Ir 0.000 0.184 0.750
Rh1 Rh 0.000 0.500 0.000

=====

4.
# Ba2LaHg | the Alexandria database | PBE | relaxed
# Fermi-level density of states = 13.8 states/eV/cell
# Energy of formation = 0.83 kJ per mole of atoms
# E_tot = -2.260 eV/atom
data_Ba2LaHg
_chemical_formula_sum 'Ba4 La2 Hg2'
_cell_length_a 5.201
_cell_length_b 5.201
_cell_length_c 11.551
_cell_angle_alpha 90.00
_cell_angle_beta 90.00
_cell_angle_gamma 90.00
_space_group_name_H-M_alt 'I 4/m m m'
_space_group_IT_number 139
_space_group_name_Hall '-I 4 2'
loop_
_atom_site_label
_atom_site_type_symbol
_atom_site_fract_x
_atom_site_fract_y
_atom_site_fract_z
Ba1 Ba 0.000 0.500 0.250
La1 La 0.000 0.000 0.000
Hg1 Hg 0.000 0.000 0.500

=====

5.
# HoUPa | the Alexandria database | PBE | relaxed
# Fermi-level density of states = 28.3 states/eV/cell
# Energy of formation = 31.17 kJ per mole of atoms
# E_tot = -8.131 eV/atom
data_HoUPa
_chemical_formula_sum 'Ho4 U4 Pa4'
_cell_length_a 12.452
_cell_length_b 4.758
_cell_length_c 5.307
_cell_angle_alpha 90.00
_cell_angle_beta 91.88
_cell_angle_gamma 90.00
_space_group_name_H-M_alt 'C 1 2/m 1'
_space_group_IT_number 12
_space_group_name_Hall '-C 2y'
loop_
_atom_site_label
_atom_site_type_symbol
_atom_site_fract_x
_atom_site_fract_y
_atom_site_fract_z
Ho1 Ho 0.076 0.000 0.256
U1 U 0.244 0.000 0.716
Pa1 Pa 0.147 0.500 0.817

=====

6.
# PmTlCuO3 | the Alexandria database | PBE | relaxed
# Raw formation energy = -1.72 eV per atom
# Fermi-level density of states = 5.1 states/eV/cell
# E_tot = -6.069 eV/atom
data_PmTlCuO3
_chemical_formula_sum 'Pm4 Tl4 Cu4 O12'
_cell_length_a 12.954
_cell_length_b 3.928
_cell_length_c 7.847
_cell_angle_alpha 90.00
_cell_angle_beta 104.80
_cell_angle_gamma 90.00
_space_group_name_H-M_alt 'C 1 2/m 1'
_space_group_IT_number 12
_space_group_name_Hall '-C 2y'
loop_
_atom_site_label
_atom_site_type_symbol
_atom_site_fract_x
_atom_site_fract_y
_atom_site_fract_z
Pm1 Pm 0.149 0.000 0.078
Tl1 Tl 0.146 0.000 0.585
Cu1 Cu 0.008 0.500 0.795
O1 O 0.010 0.000 0.814
O2 O 0.147 0.500 0.250
O3 O 0.165 0.500 0.872

=====

7.
# NaYGa2Pd | the Alexandria database | PBE | relaxed
# Fermi-level density of states = 3.3 states/eV/cell
# Energy of formation = 71.41 kJ per mole of atoms
# E_tot = -3.066 eV/atom
data_NaYGa2Pd
_chemical_formula_sum 'Na1 Y1 Ga2 Pd1'
_cell_length_a 4.807
_cell_length_b 4.807
_cell_length_c 5.302
_cell_angle_alpha 90.00
_cell_angle_beta 90.00
_cell_angle_gamma 90.00
_space_group_name_H-M_alt 'P 4/m m m'
_space_group_IT_number 123
_space_group_name_Hall '-P 4 2'
loop_
_atom_site_label
_atom_site_type_symbol
_atom_site_fract_x
_atom_site_fract_y
_atom_site_fract_z
Na1 Na 0.000 0.000 0.000
Y1 Y 0.000 0.000 0.500
Ga1 Ga 0.000 0.500 0.000
Pd1 Pd 0.500 0.500 0.500

=====

8.
# Ba2MgTe | the Alexandria database | PBE | relaxed
# Raw formation energy = -0.63 eV per atom
# Fermi-level density of states = 7.6 states/eV/cell
# E_tot = -2.771 eV/atom
# Energy above the most stable polymorph in this dataset = 159 meV per atom
data_Ba2MgTe
_chemical_formula_sum 'Ba4 Mg2 Te2'
_cell_length_a 5.603
_cell_length_b 5.603
_cell_length_c 10.069
_cell_angle_alpha 90.00
_cell_angle_beta 90.00
_cell_angle_gamma 90.00
_space_group_name_H-M_alt 'I 4/m m m'
_space_group_IT_number 139
_space_group_name_Hall '-I 4 2'
loop_
_atom_site_label
_atom_site_type_symbol
_atom_site_fract_x
_atom_site_fract_y
_atom_site_fract_z
Ba1 Ba 0.000 0.500 0.250
Mg1 Mg 0.000 0.000 0.000
Te1 Te 0.000 0.000 0.500

=====

9.
# HfPAuS2 | the Alexandria database | PBE | relaxed
# Raw formation energy = 0.11 eV per atom
# Fermi-level density of states = 6.3 states/eV/cell
# E_tot = -5.266 eV/atom
# Energy above the most stable polymorph in this dataset = 0 meV per atom
data_HfPAuS2
_chemical_formula_sum 'Hf1 P1 Au1 S2'
_cell_length_a 4.850
_cell_length_b 4.850
_cell_length_c 5.142
_cell_angle_alpha 90.00
_cell_angle_beta 90.00
_cell_angle_gamma 90.00
_space_group_name_H-M_alt 'P 4/m m m'
_space_group_IT_number 123
_space_group_name_Hall '-P 4 2'
loop_
_atom_site_label
_atom_site_type_symbol
_atom_site_fract_x
_atom_site_fract_y
_atom_site_fract_z
Hf1 Hf 0.000 0.000 0.000
P1 P 0.000 0.000 0.500
Au1 Au 0.500 0.500 0.500
S1 S 0.000 0.500 0.000

=====

10.
# ZnReSn2Hg | the Alexandria database | PBE | relaxed
# Fermi-level density of states = 3.6 states/eV/cell
# Energy of formation = 148.06 kJ per mole of atoms
# E_tot = -2.871 eV/atom
data_ZnReSn2Hg
_chemical_formula_sum 'Zn1 Re1 Sn2 Hg1'
_cell_length_a 5.513
_cell_length_b 5.513
_cell_length_c 4.794
_cell_angle_alpha 90.00
_cell_angle_beta 90.00
_cell_angle_gamma 90.00
_space_group_name_H-M_alt 'P 4/m m m'
_space_group_IT_number 123
_space_group_name_Hall '-P 4 2'
loop_
_atom_site_label
_atom_site_type_symbol
_atom_site_fract_x
_atom_site_fract_y
_atom_site_fract_z
Zn1 Zn 0.000 0.000 0.000
Re1 Re 0.500 0.500 0.000
Sn1 Sn 0.000 0.500 0.500
Hg1 Hg 0.000 0.000 0.500

=====

11.
# LiVRu3 | the Alexandria database | PBE | relaxed
# Fermi-level density of states = 6.6 states/eV/cell
# Energy of formation = 98.31 kJ per mole of atoms
# E_tot = -6.753 eV/atom
# Energy above the most stable polymorph in this dataset = 166 meV per atom
data_LiVRu3
_chemical_formula_sum 'Li1 V1 Ru3'
_cell_length_a 4.476
_cell_length_b 4.476
_cell_length_c 4.476
_cell_angle_alpha 90.00
_cell_angle_beta 90.00
_cell_angle_gamma 90.00
_space_group_name_H-M_alt 'P m -3 m'
_space_group_IT_number 221
_space_group_name_Hall '-P 4 2 3'
loop_
_atom_site_label
_atom_site_type_symbol
_atom_site_fract_x
_atom_site_fract_y
_atom_site_fract_z
Li1 Li 0.000 0.000 0.000
V1 V 0.500 0.500 0.500
Ru1 Ru 0.000 0.500 0.500

=====

12.
# Dy2Ga4CuPd3 | the Alexandria database | PBE | relaxed
# Fermi-level density of states = 5.6 states/eV/cell
# Energy of formation = -66.72 kJ per mole of atoms
# E_tot = -4.790 eV/atom
data_Dy2Ga4CuPd3
_chemical_formula_sum 'Dy2 Ga4 Cu1 Pd3'
_cell_length_a 4.022
_cell_length_b 4.022
_cell_length_c 11.371
_cell_angle_alpha 90.00
_cell_angle_beta 90.00
_cell_angle_gamma 90.00
_space_group_name_H-M_alt 'P -4 m 2'
_space_group_IT_number 115
_space_group_name_Hall 'P -4 -2'
loop_
_atom_site_label
_atom_site_type_symbol
_atom_site_fract_x
_atom_site_fract_y
_atom_site_fract_z
Dy1 Dy 0.000 0.500 0.247
Ga1 Ga 0.000 0.000 0.500
Ga2 Ga 0.000 0.500 0.867
Ga3 Ga 0.500 0.500 0.500
Cu1 Cu 0.500 0.500 0.000
Pd1 Pd 0.000 0.000 0.000
Pd2 Pd 0.000 0.500 0.646

=====

What did the eleventh record say?
# LiVRu3 | the Alexandria database | PBE | relaxed
# Fermi-level density of states = 6.6 states/eV/cell
# Energy of formation = 98.31 kJ per mole of atoms
# E_tot = -6.753 eV/atom
# Energy above the most stable polymorph in this dataset = 166 meV per atom
data_LiVRu3
_chemical_formula_sum 'Li1 V1 Ru3'
_cell_length_a 4.476
_cell_length_b 4.476
_cell_length_c 4.476
_cell_angle_alpha 90.00
_cell_angle_beta 90.00
_cell_angle_gamma 90.00
_space_group_name_H-M_alt 'P m -3 m'
_space_group_IT_number 221
_space_group_name_Hall '-P 4 2 3'
loop_
_atom_site_label
_atom_site_type_symbol
_atom_site_fract_x
_atom_site_fract_y
_atom_site_fract_z
Li1 Li 0.000 0.000 0.000
V1 V 0.500 0.500 0.500
Ru1 Ru 0.000 0.500 0.500